Record 1
The following is a PBE calculation of an optimized crystal structure of Y2TaCl, from the Alexandria database.

a = 11.243 Å, b = 11.243 Å, c = 11.243 Å
α = 17.26°, β = 17.26°, γ = 17.26°
Fractional coordinates of all 4 atoms:
Y  0.000  0.000  0.000
Y  0.239  0.239  0.239
Ta  0.500  0.500  0.500
Cl  0.724  0.724  0.724

Summary:
Energy above the lowest structure with this stoichiometry in meV/atom: 417
Symmetry: R3m
E_form (uncorrected) in eV/f.u.: -0.11
E in eV per atom: -6.68
D(E_F) in states/eV per cell: 4.08

---

Record 2
The following is a PBE calculation of an optimized crystal structure of YTa3Cl, from the Alexandria database.

a = 5.074 Å, b = 5.074 Å, c = 5.074 Å
α = 90.00°, β = 90.00°, γ = 90.00°
Fractional coordinates of all 5 atoms:
Y  0.000  0.000  0.000
Ta  0.000  0.000  0.500
Ta  0.000  0.500  0.000
Ta  0.500  0.000  0.000
Cl  0.500  0.500  0.500

Summary:
Energy above the lowest structure with this stoichiometry in meV/atom: 1954
Symmetry: Pm-3m
E_form (uncorrected) in eV/f.u.: 12.85
E in eV per atom: -6.20
D(E_F) in states/eV per cell: 7.69

---

Record 3
The following is a PBE calculation of an optimized crystal structure of YTaCl2, from the Alexandria database.

a = 9.275 Å, b = 9.275 Å, c = 9.275 Å
α = 20.03°, β = 20.03°, γ = 20.03°
Fractional coordinates of all 4 atoms:
Y  0.000  0.000  0.000
Ta  0.500  0.500  0.500
Cl  0.409  0.409  0.409
Cl  0.591  0.591  0.591

Summary:
Energy above the lowest structure with this stoichiometry in meV/atom: 381
Symmetry: R-3m
E_form (uncorrected) in eV/f.u.: -2.35
E in eV per atom: -6.09
D(E_F) in states/eV per cell: 3.32

---

Record 4
The following is a PBE calculation of an optimized crystal structure of YTaCl2, from the Alexandria database.

a = 3.057 Å, b = 4.523 Å, c = 6.123 Å
α = 90.00°, β = 90.00°, γ = 90.00°
Fractional coordinates of all 4 atoms:
Y  0.000  0.000  0.000
Ta  0.500  0.000  0.500
Cl  0.000  0.500  0.500
Cl  0.500  0.500  0.000

Summary:
Energy above the lowest structure with this stoichiometry in meV/atom: 618
Symmetry: Pmmm
E_form (uncorrected) in eV/f.u.: -1.40
E in eV per atom: -5.85
D(E_F) in states/eV per cell: 3.03

---

Record 5
The following is a PBE calculation of an optimized crystal structure of YTaCl2, from the Alexandria database.

a = 3.183 Å, b = 3.183 Å, c = 10.997 Å
α = 90.00°, β = 90.00°, γ = 90.00°
Fractional coordinates of all 4 atoms:
Y  0.000  0.000  0.000
Ta  0.000  0.000  0.500
Cl  0.500  0.500  0.149
Cl  0.500  0.500  0.851

Summary:
Energy above the lowest structure with this stoichiometry in meV/atom: 737
Symmetry: P4/mmm
E_form (uncorrected) in eV/f.u.: -0.93
E in eV per atom: -5.73
D(E_F) in states/eV per cell: 3.07

---

Record 6
The following is a PBE calculation of an optimized crystal structure of Y2TaCl, from the Alexandria database.

a = 5.512 Å, b = 5.512 Å, c = 3.263 Å
α = 90.00°, β = 90.00°, γ = 90.00°
Fractional coordinates of all 4 atoms:
Y  0.000  0.500  0.000
Y  0.500  0.000  0.000
Ta  0.000  0.000  0.500
Cl  0.500  0.500  0.000

Summary:
Energy above the lowest structure with this stoichiometry in meV/atom: 237
Symmetry: P4/mmm
E_form (uncorrected) in eV/f.u.: -0.83
E in eV per atom: -6.86
D(E_F) in states/eV per cell: 4.25

---

Record 7
The following is a PBE calculation of an optimized crystal structure of YTaCl2, from the Alexandria database.

a = 9.892 Å, b = 9.892 Å, c = 9.892 Å
α = 20.13°, β = 20.13°, γ = 20.13°
Fractional coordinates of all 4 atoms:
Y  0.000  0.000  0.000
Ta  0.750  0.750  0.750
Cl  0.269  0.269  0.269
Cl  0.473  0.473  0.473

Summary:
Energy above the lowest structure with this stoichiometry in meV/atom: 0
Symmetry: R3m
E_form (uncorrected) in eV/f.u.: -3.87
E in eV per atom: -6.47
D(E_F) in states/eV per cell: 0.43

---

Record 8
The following is a PBE calculation of an optimized crystal structure of TaZnCl, from the Alexandria database.

a = 8.125 Å, b = 7.863 Å, c = 3.038 Å
α = 83.96°, β = 74.21°, γ = 21.83°
Fractional coordinates of all 3 atoms:
Ta  0.000  0.000  0.000
Zn  0.641  0.641  0.359
Cl  0.374  0.374  0.626

Summary:
Energy above the lowest structure with this stoichiometry in meV/atom: 242
Symmetry: Fmm2
E_form (uncorrected) in eV/f.u.: 0.06
E in eV per atom: -4.97
D(E_F) in states/eV per cell: 1.26